Entry 1:
## SnMoAu3 (GGA-PBE)

Data for crystalline SnMoAu3 at its relaxed geometry.

Computed properties:
Its density is 9.827 Mg/m³. Its formation energy is 1121 meV per atom. The energy above the most stable polymorph in this dataset is 172.2 meV per atom. Its final energy is -3.8124 eV/atom.

Geometry as POSCAR:
```
SnMoAu3
1.0
5.144 0.000 0.000
0.000 5.144 0.000
0.000 0.000 5.144
Au Sn Mo
3 1 1
Direct
0.500 0.000 0.000
0.000 0.500 0.000
0.000 0.000 0.500
0.000 0.000 0.000
0.500 0.500 0.500
```

=====

Entry 2:
## SnMoAu2 (GGA-PBE)

Data for crystalline SnMoAu2 at its relaxed geometry.

Computed properties:
Its density is 12.616 Mg/m³. Its formation energy is 419 meV per atom. Its final energy is -4.9282 eV/atom.

Geometry as POSCAR:
```
SnMoAu2
1.0
-1.699 0.520 -3.508
-0.443 -3.891 -0.361
-10.340 -1.055 2.648
Au Mo Sn
4 2 2
Direct
0.375 0.379 0.750
0.875 0.871 0.750
0.129 0.625 0.250
0.621 0.125 0.250
0.500 0.500 0.000
0.250 0.750 0.500
0.750 0.250 0.500
0.000 0.000 0.000
```

=====

Entry 3:
## Sn2MoAu (GGA-PBE)

Data for crystalline Sn2MoAu at its relaxed geometry.

Computed properties:
Its density is 10.982 Mg/m³. Its formation energy is 433 meV per atom. The energy above the most stable polymorph in this dataset is 0.0 meV per atom. Its final energy is -5.0957 eV/atom.

Geometry as POSCAR:
```
Sn2MoAu
1.0
0.000 3.423 3.423
3.423 0.000 3.423
3.423 3.423 0.000
Sn Au Mo
2 1 1
Direct
0.750 0.750 0.750
0.250 0.250 0.250
0.500 0.500 0.500
0.000 0.000 0.000
```

=====

Entry 4:
## Sn3MoAu (GGA-PBE)

Data for crystalline Sn3MoAu at its relaxed geometry.

Computed properties:
Its density is 7.514 Mg/m³. Its formation energy is 429 meV per atom. The energy above the most stable polymorph in this dataset is 0.0 meV per atom. Its final energy is -4.7940 eV/atom.

Geometry as POSCAR:
```
Sn3MoAu
1.0
-3.988 3.390 0.072
-0.299 -0.242 -5.221
-3.377 -3.982 0.378
Sn Mo Au
3 1 1
Direct
0.000 0.000 0.500
0.000 0.500 0.000
0.500 0.000 0.000
0.000 0.000 0.000
0.500 0.500 0.500
```

=====

Entry 5:
## Sn2MoAu (GGA-PBE)

Data for crystalline Sn2MoAu at its relaxed geometry.

Computed properties:
Its density is 9.893 Mg/m³. Its formation energy is 554 meV per atom. The energy above the most stable polymorph in this dataset is 121.1 meV per atom. Its final energy is -4.9745 eV/atom.

Geometry as POSCAR:
```
Sn2MoAu
1.0
-5.849 -4.642 -1.594
0.241 -2.748 7.120
-4.765 -1.534 3.663
Mo Sn Au
2 4 2
Direct
0.250 0.750 0.500
0.500 0.500 0.000
0.119 0.625 0.250
0.875 0.881 0.750
0.631 0.125 0.250
0.375 0.369 0.750
0.000 0.000 0.000
0.750 0.250 0.500
```

=====

Entry 6:
## Sn2MoAu2 (GGA-PBE)

Data for crystalline Sn2MoAu2 at its relaxed geometry.

Computed properties:
Its density is 11.698 Mg/m³. Its formation energy is 378 meV per atom. The energy above the most stable polymorph in this dataset is 15.5 meV per atom. Its final energy is -4.7001 eV/atom.

Geometry as POSCAR:
```
Sn2MoAu2
1.0
7.461 0.000 0.000
0.000 7.461 0.000
0.000 0.000 3.709
Sn Au Mo
4 4 2
Direct
0.841 0.659 0.000
0.341 0.841 0.000
0.159 0.341 0.000
0.659 0.159 0.000
0.856 0.356 0.500
0.356 0.144 0.500
0.644 0.856 0.500
0.144 0.644 0.500
0.000 0.000 0.000
0.500 0.500 0.000
```

=====

Entry 7:
## SnMoAu3 (GGA-PBE)

Data for crystalline SnMoAu3 at its relaxed geometry.

Computed properties:
Its density is 10.272 Mg/m³. Its formation energy is 949 meV per atom. The energy above the most stable polymorph in this dataset is 0.0 meV per atom. Its final energy is -3.9846 eV/atom.

Geometry as POSCAR:
```
SnMoAu3
1.0
5.069 0.000 0.000
0.000 5.069 0.000
0.000 0.000 5.069
Sn Au Mo
1 3 1
Direct
0.500 0.500 0.500
0.500 0.000 0.000
0.000 0.500 0.000
0.000 0.000 0.500
0.000 0.000 0.000
```

=====

Entry 8:
## Ta2SnMoAu (GGA-PBE)

Data for crystalline Ta2SnMoAu at its relaxed geometry.

Computed properties:
Its density is 10.565 Mg/m³. Its formation energy is 1885 meV per atom. Its final energy is -6.4782 eV/atom.

Geometry as POSCAR:
```
Ta2SnMoAu
1.0
-3.281 3.299 1.802
-0.895 -2.956 3.783
3.646 2.211 2.590
Ta Mo Sn Au
2 1 1 1
Direct
0.500 0.000 0.000
0.000 0.000 0.500
0.500 0.500 0.500
0.000 0.500 0.000
0.000 0.000 0.000
```